First-principles (GGA-PBE) data for an optimized crystal structure of LiCrSe3, as listed in Alexandria.

POSCAR file:
```
LiCrSe3
1.0
4.508 0.000 0.000
-2.254 3.904 0.000
0.000 0.000 10.694
Li Cr Se
2 2 6
direct
0.333 0.667 0.250 Li
0.667 0.333 0.750 Li
0.000 0.000 0.000 Cr
0.000 0.000 0.500 Cr
0.000 0.000 0.250 Se
0.000 0.000 0.750 Se
0.333 0.667 0.552 Se
0.333 0.667 0.948 Se
0.667 0.333 0.052 Se
0.667 0.333 0.448 Se
```

Results
As for the final energy: -4.753 eV/atom. The spin magnetization is 2.3 μB/f.u. As for the space-group type: No. 194. The calculation puts the volume at 18.8 Å³ per atom.